[1]
Entry from Alexandria via LeMat-Bulk: a relaxed La12Tb7Th crystal (PBE).

The structure in POSCAR format:
```
La12Tb7Th
1.0
6.286 3.629 5.100
-6.286 3.629 5.100
0.000 -7.258 5.100
La Tb Th
12 7 1
Cartesian
-2.144 -5.090 6.395 La
-5.480 -0.688 8.905 La
-3.430 0.950 6.899 La
-2.538 -2.496 8.401 La
-3.336 4.401 6.395 La
0.893 -3.445 6.899 La
-0.893 3.445 8.401 La
3.336 -4.402 8.905 La
2.538 2.496 6.899 La
3.430 -0.950 8.401 La
5.480 0.688 6.395 La
2.144 5.090 8.905 La
0.000 0.000 0.000 Tb
-1.442 -1.447 4.714 Tb
-0.533 1.972 4.714 Tb
1.974 -0.525 4.714 Tb
-1.974 0.525 10.586 Tb
0.533 -1.972 10.586 Tb
1.442 1.448 10.586 Tb
0.000 0.000 7.650 Th
```

Final energy: -4.761 eV per atom
Distance to the lowest polymorph of the same formula: 0 meV/atom
Density: 7.16 Mg/m³
E_form: 0.187 eV/atom

[2]
Entry from Alexandria via LeMat-Bulk: a relaxed Nd2Th2Zn crystal (PBE).

The structure in POSCAR format:
```
Nd2Th2Zn
1.0
-1.817 1.817 11.273
1.817 -1.817 11.273
1.817 1.817 -11.273
Nd Th Zn
2 2 1
Cartesian
0.000 0.000 1.900 Nd
0.000 0.000 20.646 Nd
0.000 0.000 6.835 Th
0.000 0.000 15.711 Th
0.000 0.000 11.273 Zn
```

Final energy: -5.242 eV per atom
Density: 9.12 Mg/m³
E_form: -0.112 eV/atom

[3]
Entry from Alexandria via LeMat-Bulk: a relaxed Tb3PuBi4 crystal (PBE).

The structure in POSCAR format:
```
Tb3PuBi4
1.0
4.508 -6.368 0.000
4.508 6.368 0.000
0.000 0.000 4.507
Tb Pu Bi
3 1 4
Cartesian
0.000 0.000 0.000 Tb
2.254 3.184 2.254 Tb
2.254 -3.184 2.254 Tb
4.508 0.000 0.000 Pu
2.243 0.000 2.254 Bi
4.508 3.192 0.000 Bi
4.508 -3.192 0.000 Bi
6.774 0.000 2.254 Bi
```

Final energy: -6.204 eV per atom
Distance to the lowest polymorph of the same formula: 0 meV/atom
Density: 9.99 Mg/m³
E_form: -0.736 eV/atom

[4]
Entry from Alexandria via LeMat-Bulk: a relaxed CePaSi2 crystal (PBE).

The structure in POSCAR format:
```
CePaSi2
1.0
2.310 1.334 4.912
-2.310 1.334 4.912
0.000 -2.668 4.912
Ce Pa Si
1 1 2
Cartesian
0.000 0.000 0.000 Ce
0.000 0.000 7.369 Pa
0.000 0.000 3.614 Si
0.000 0.000 11.123 Si
```

Final energy: -6.964 eV per atom
Distance to the lowest polymorph of the same formula: 125 meV/atom
Energy relative to the elements, uncorrected: -38.1 kJ per mole of atoms
Density: 7.81 Mg/m³

[5]
Entry from Alexandria via LeMat-Bulk: a relaxed InNiHg crystal (PBE).

The structure in POSCAR format:
```
InNiHg
1.0
-1.553 1.553 5.845
1.553 -1.553 5.845
1.553 1.553 -5.845
In Ni Hg
1 1 1
Cartesian
0.000 0.000 0.000 In
0.000 0.000 4.278 Ni
0.000 0.000 8.375 Hg
```

Final energy: -2.820 eV per atom
Distance to the lowest polymorph of the same formula: 95 meV/atom
Density: 11.02 Mg/m³
E_form: 0.120 eV/atom

[6]
Entry from Alexandria via LeMat-Bulk: a relaxed ErUZn4 crystal (PBE).

The structure in POSCAR format:
```
ErUZn4
1.0
0.000 3.836 3.836
3.836 0.000 3.836
3.836 3.836 0.000
Er U Zn
1 1 4
Cartesian
0.000 0.000 0.000 Er
1.918 1.918 1.918 U
4.794 2.877 2.877 Zn
2.877 4.794 2.877 Zn
2.877 2.877 4.794 Zn
4.794 4.794 4.794 Zn
```

Final energy: -3.557 eV per atom
Density: 9.81 Mg/m³
E_form: -0.066 eV/atom

[7]
Entry from Alexandria via LeMat-Bulk: a relaxed TbSmRhPb crystal (PBE).

The structure in POSCAR format:
```
TbSmRhPb
1.0
0.000 3.685 3.685
3.685 0.000 3.685
3.685 3.685 0.000
Tb Sm Rh Pb
1 1 1 1
Cartesian
0.000 0.000 0.000 Tb
3.685 3.685 3.685 Sm
5.528 5.528 5.528 Rh
1.843 1.843 1.843 Pb
```

Final energy: -5.589 eV per atom
Density: 10.27 Mg/m³
E_form: -0.487 eV/atom

[8]
Entry from Alexandria via LeMat-Bulk: a relaxed TlS2F crystal (PBE).

The structure in POSCAR format:
```
TlS2F
1.0
1.995 1.152 6.903
-1.995 1.152 6.903
0.000 -2.303 6.903
Tl S F
1 2 1
Cartesian
0.000 0.000 0.000 Tl
0.000 0.000 8.330 S
0.000 0.000 12.379 S
0.000 0.000 10.355 F
```

Final energy: -3.228 eV per atom
Distance to the lowest polymorph of the same formula: 610 meV/atom
Energy relative to the elements, uncorrected: -10.1 kJ per mole of atoms
Density: 5.02 Mg/m³

[9]
Entry from Alexandria via LeMat-Bulk: a relaxed P3W crystal (PBE).

The structure in POSCAR format:
```
P3W
1.0
5.372 0.000 0.000
-2.686 4.652 0.000
0.000 0.000 9.342
P W
12 4
Cartesian
-1.343 2.326 0.000 P
-1.343 2.326 4.671 P
0.000 1.359 2.335 P
-1.509 3.973 2.335 P
1.177 0.679 7.006 P
2.686 0.000 0.000 P
2.686 0.000 4.671 P
1.343 2.326 0.000 P
1.343 2.326 4.671 P
1.509 3.973 2.335 P
4.195 0.679 7.006 P
2.686 3.293 7.006 P
0.000 0.000 0.000 W
0.000 0.000 4.671 W
0.000 3.101 7.006 W
2.686 1.551 2.335 W
```

Final energy: -6.578 eV per atom
Distance to the lowest polymorph of the same formula: 868 meV/atom
Density: 7.88 Mg/m³
E_form: 0.718 eV/atom

[10]
Entry from Alexandria via LeMat-Bulk: a relaxed MgPaMn crystal (PBE).

The structure in POSCAR format:
```
MgPaMn
1.0
6.403 0.000 0.000
0.000 6.316 0.000
-1.266 0.000 5.954
Mg Pa Mn
4 4 4
Cartesian
0.791 0.496 2.741 Mg
0.157 2.662 5.718 Mg
4.979 3.654 0.236 Mg
4.346 5.820 3.213 Mg
0.895 3.659 2.785 Pa
0.262 5.816 5.762 Pa
4.875 0.501 0.192 Pa
4.242 2.658 3.168 Pa
2.140 4.657 4.264 Mn
2.773 4.817 1.288 Mn
2.364 1.499 4.666 Mn
2.997 1.659 1.689 Mn
```

Final energy: -6.550 eV per atom
Density: 8.56 Mg/m³
E_form: 0.204 eV/atom

[11]
Entry from Alexandria via LeMat-Bulk: a relaxed DyPuSO2 crystal (PBE).

The structure in POSCAR format:
```
DyPuSO2
1.0
-1.890 1.890 6.013
1.890 -1.890 6.013
1.890 1.890 -6.013
Dy Pu S O
1 1 1 2
Cartesian
0.000 0.000 0.000 Dy
0.000 0.000 8.476 Pu
0.000 0.000 4.195 S
1.890 0.000 1.161 O
0.000 1.890 1.161 O
```

Final energy: -9.370 eV per atom
Energy relative to the elements, uncorrected: -267.7 kJ per mole of atoms
Density: 9.10 Mg/m³

[12]
Entry from Alexandria via LeMat-Bulk: a relaxed Y3Mg4Rh4 crystal (PBE).

The structure in POSCAR format:
```
Y3Mg4Rh4
1.0
-1.898 3.998 7.395
1.898 -3.998 7.395
1.898 3.998 -7.395
Y Mg Rh
3 4 4
Cartesian
0.000 0.000 0.000 Y
1.898 0.000 5.749 Y
0.000 3.998 1.645 Y
1.898 1.510 -2.552 Mg
1.898 1.510 2.552 Mg
0.000 2.488 4.843 Mg
0.000 2.488 9.946 Mg
0.000 0.000 3.616 Rh
1.898 2.379 0.000 Rh
0.000 1.620 7.395 Rh
0.000 0.000 11.173 Rh
```

Final energy: -5.581 eV per atom
Density: 5.74 Mg/m³
E_form: -0.565 eV/atom